Density functional theory data (GGA+U) for an optimized crystal structure of Li4V3FeO10.

Results
As for the space group: No. 115. As for the magnetic moment: 7.000 μB/f.u. For the total DFT energy (no corrections), the calculation gives -6.688 eV per atom.

The structure in POSCAR format:
```
Li4V3FeO10
1.0
6.693 0.000 0.000
0.000 6.693 0.000
0.000 0.000 4.657
Li V Fe O
4 3 1 10
Cartesian
1.578 1.578 0.000 Li
1.578 5.114 0.000 Li
5.114 1.578 0.000 Li
5.114 5.114 0.000 Li
0.000 3.346 2.798 V
3.346 0.000 1.859 V
3.346 3.346 2.328 V
0.000 0.000 2.328 Fe
0.000 1.524 3.459 O
0.000 3.346 1.112 O
0.000 5.169 3.459 O
1.524 0.000 1.198 O
1.953 3.346 3.374 O
3.346 0.000 3.545 O
3.346 1.953 1.283 O
3.346 4.740 1.283 O
4.740 3.346 3.374 O
5.169 0.000 1.198 O
```